1.
# Nd3Dy2ErS6, relaxed, DFT GGA-PBE
data_Nd3Dy2ErS6
_cell_length_a 6.8341
_cell_length_b 11.8771
_cell_length_c 6.9803
_cell_angle_alpha 90.00
_cell_angle_beta 109.12
_cell_angle_gamma 90.00
_symmetry_space_group_name_H-M 'C 1 2/m 1'
_symmetry_Int_Tables_number 12
_symmetry_space_group_name_Hall '-C 2y'
loop_
_atom_site_label
_atom_site_fract_x
_atom_site_fract_y
_atom_site_fract_z
_atom_site_occupancy
Nd1 0.0000 0.0000 0.0000 1
Nd2 0.0000 0.3321 0.0000 1
Dy1 0.0000 0.1667 0.5000 1
Er1 0.0000 0.5000 0.5000 1
S1 0.2429 0.3346 0.7327 1
S2 0.2470 0.0000 0.7338 1
# Energy relative to the elements, uncorrected   -194.1 kJ/mol of atoms

***

2.
# Nd2DyEr3Sb6, relaxed, DFT GGA-PBE
data_Nd2DyEr3Sb6
_cell_length_a 19.2397
_cell_length_b 4.4178
_cell_length_c 8.8284
_cell_angle_alpha 90.00
_cell_angle_beta 103.18
_cell_angle_gamma 90.00
_symmetry_space_group_name_H-M 'C 1 2/m 1'
_symmetry_Int_Tables_number 12
_symmetry_space_group_name_Hall '-C 2y'
loop_
_atom_site_label
_atom_site_fract_x
_atom_site_fract_y
_atom_site_fract_z
_atom_site_occupancy
Nd1 0.1658 0.0000 0.3327 1
Dy1 0.0000 0.5000 0.0000 1
Er1 0.0000 0.5000 0.5000 1
Er2 0.1679 0.0000 0.8341 1
Sb1 0.0033 0.0000 0.7503 1
Sb2 0.1643 0.5000 0.5898 1
Sb3 0.1665 0.5000 0.0756 1
# Energy relative to the elements, uncorrected   -108.7 kJ/mol of atoms

***

3.
# NdDy2Er3Sb6, relaxed, DFT GGA-PBE
data_NdDy2Er3Sb6
_cell_length_a 19.1395
_cell_length_b 4.3935
_cell_length_c 8.7832
_cell_angle_alpha 90.00
_cell_angle_beta 103.20
_cell_angle_gamma 90.00
_symmetry_space_group_name_H-M 'C 1 2/m 1'
_symmetry_Int_Tables_number 12
_symmetry_space_group_name_Hall '-C 2y'
loop_
_atom_site_label
_atom_site_fract_x
_atom_site_fract_y
_atom_site_fract_z
_atom_site_occupancy
Nd1 0.0000 0.0000 0.0000 1
Dy1 0.1674 0.5000 0.3337 1
Er1 0.0000 0.0000 0.5000 1
Er2 0.1656 0.5000 0.8322 1
Sb1 0.0001 0.5000 0.2579 1
Sb2 0.1661 0.0000 0.5842 1
Sb3 0.1697 0.0000 0.0832 1
# Energy relative to the elements, uncorrected   -108.0 kJ/mol of atoms

***

4.
# NdDyEr2Sb4, relaxed, DFT GGA-PBE
data_NdDyEr2Sb4
_cell_length_a 7.6261
_cell_length_b 4.4085
_cell_length_c 7.6294
_cell_angle_alpha 90.00
_cell_angle_beta 109.49
_cell_angle_gamma 90.00
_symmetry_space_group_name_H-M 'P 1 2/m 1'
_symmetry_Int_Tables_number 10
_symmetry_space_group_name_Hall '-P 2y'
loop_
_atom_site_label
_atom_site_fract_x
_atom_site_fract_y
_atom_site_fract_z
_atom_site_occupancy
Nd1 0.0000 0.0000 0.0000 1
Dy1 0.0000 0.5000 0.5000 1
Er1 0.5000 0.0000 0.5000 1
Er2 0.5000 0.5000 0.0000 1
Sb1 0.2552 0.0000 0.7477 1
Sb2 0.2582 0.5000 0.2567 1
# Energy relative to the elements, uncorrected   -108.2 kJ/mol of atoms

***

5.
# Nd2Dy3ErSb6, relaxed, DFT GGA-PBE
data_Nd2Dy3ErSb6
_cell_length_a 19.2898
_cell_length_b 4.4279
_cell_length_c 8.8517
_cell_angle_alpha 90.00
_cell_angle_beta 103.24
_cell_angle_gamma 90.00
_symmetry_space_group_name_H-M 'C 1 2/m 1'
_symmetry_Int_Tables_number 12
_symmetry_space_group_name_Hall '-C 2y'
loop_
_atom_site_label
_atom_site_fract_x
_atom_site_fract_y
_atom_site_fract_z
_atom_site_occupancy
Nd1 0.1657 0.0000 0.3322 1
Dy1 0.0000 0.5000 0.5000 1
Dy2 0.1681 0.0000 0.8339 1
Er1 0.0000 0.5000 0.0000 1
Sb1 0.0029 0.0000 0.7531 1
Sb2 0.1655 0.5000 0.0762 1
Sb3 0.1648 0.5000 0.5882 1
# Energy relative to the elements, uncorrected   -109.9 kJ/mol of atoms

***

6.
# Nd3Dy2Er6Sc, relaxed, DFT GGA-PBE
data_Nd3Dy2Er6Sc
_cell_length_a 6.1352
_cell_length_b 10.6177
_cell_length_c 11.6890
_cell_angle_alpha 90.00
_cell_angle_beta 100.08
_cell_angle_gamma 90.00
_symmetry_space_group_name_H-M 'C 1 2/m 1'
_symmetry_Int_Tables_number 12
_symmetry_space_group_name_Hall '-C 2y'
loop_
_atom_site_label
_atom_site_fract_x
_atom_site_fract_y
_atom_site_fract_z
_atom_site_occupancy
Nd1 0.0000 0.0000 0.0000 1
Nd2 0.0000 0.3335 0.0000 1
Dy1 0.0000 0.1665 0.5000 1
Er1 0.2463 0.3346 0.7441 1
Er2 0.2500 0.0000 0.7442 1
Sc1 0.0000 0.5000 0.5000 1
# Energy relative to the elements   0.031 eV/atom

***

7.
# NdDyEr5Sc2, relaxed, DFT GGA-PBE
data_NdDyEr5Sc2
_cell_length_a 5.5536
_cell_length_b 21.3118
_cell_length_c 9.3032
_cell_angle_alpha 90.00
_cell_angle_beta 90.00
_cell_angle_gamma 90.00
_symmetry_space_group_name_H-M 'C m c 21'
_symmetry_Int_Tables_number 36
_symmetry_space_group_name_Hall 'C 2c -2'
loop_
_atom_site_label
_atom_site_fract_x
_atom_site_fract_y
_atom_site_fract_z
_atom_site_occupancy
Nd1 0.0000 0.0974 0.0000 1
Dy1 0.0000 0.3107 0.6026 1
Er1 0.0000 0.0312 0.3324 1
Er2 0.0000 0.1094 0.6264 1
Er3 0.0000 0.1926 0.3051 1
Er4 0.0000 0.2351 0.9190 1
Er5 0.0000 0.4922 0.6060 1
Sc1 0.0000 0.3569 0.2767 1
Sc2 0.0000 0.3867 0.9073 1
# Energy relative to the elements   0.172 eV/atom

***

8.
# Nd2DyEr6Sc3, relaxed, DFT GGA-PBE
data_Nd2DyEr6Sc3
_cell_length_a 6.0476
_cell_length_b 10.4717
_cell_length_c 11.4678
_cell_angle_alpha 90.00
_cell_angle_beta 100.11
_cell_angle_gamma 90.00
_symmetry_space_group_name_H-M 'C 1 2/m 1'
_symmetry_Int_Tables_number 12
_symmetry_space_group_name_Hall '-C 2y'
loop_
_atom_site_label
_atom_site_fract_x
_atom_site_fract_y
_atom_site_fract_z
_atom_site_occupancy
Nd1 0.0000 0.1668 0.0000 1
Dy1 0.0000 0.5000 0.0000 1
Er1 0.2455 0.5000 0.7387 1
Er2 0.2463 0.1664 0.7387 1
Sc1 0.0000 0.0000 0.5000 1
Sc2 0.0000 0.3335 0.5000 1
# Energy relative to the elements   0.046 eV/atom